Entry 1:
Tm2AlHg4: relaxed, PBE-GGA.

Cell lengths 5.2056, 5.2056, 7.7009 Å; angles 71.99, 71.99, 58.54 degrees
Closest atoms and distances in Å follow each position.
Atoms (fractional coordinates):
Hg: 0.4192 0.4192 0.7392  4 Tm 3.06-3.07, 3 Hg 3.16
Hg: 0.1339 0.1339 0.5945  1 Al 2.92, 1 Tm 3.10, 4 Hg 3.16-3.25
Al: 0.0000 0.0000 0.0000  2 Hg 2.92, 6 Tm 3.20-3.22
Tm: 0.7193 0.7193 0.8356  7 Hg 3.06-3.40, 3 Al 3.20-3.22
Tm: 0.2807 0.2807 0.1644  7 Hg 3.06-3.40, 3 Al 3.20-3.22
Hg: 0.8661 0.8661 0.4055  1 Al 2.92, 1 Tm 3.10, 4 Hg 3.16-3.25
Hg: 0.5808 0.5808 0.2608  4 Tm 3.06-3.07, 3 Hg 3.16

Output
Its formation energy is -0.241 eV/atom. The volume comes out at 166 Å³ per cell. Its symmetry is C2/m. The value obtained for the final energy is -2.225 eV per atom.

***

Entry 2:
TmAl2Hg: relaxed, PBE-GGA.

Cell lengths 4.4341, 4.4341, 5.7096 Å; angles 67.15, 67.15, 60.00 degrees
Closest atoms and distances in Å follow each position.
Atoms (fractional coordinates):
Tm: 0.0000 0.0000 0.0000  8 Al 3.08-3.40
Al: 0.2219 0.2219 0.3344  3 Hg 2.70
Hg: 0.5000 0.5000 0.5000  6 Al 2.70
Al: 0.7781 0.7781 0.6656  3 Hg 2.70

Output
The value obtained for the energy above the most stable polymorph in this dataset is 18.3 kJ per mole of atoms. Its formation energy is -0.135 eV/atom. The volume comes out at 87 Å³ per cell. Its symmetry is R-3m. The value obtained for the final energy is -3.200 eV per atom.

***

Entry 3:
Tm2AlHg3: relaxed, PBE-GGA.

Cell lengths 5.8963, 5.8963, 8.9998 Å; angles 102.93, 102.93, 108.47 degrees
Closest atoms and distances in Å follow each position.
Atoms (fractional coordinates):
Hg: 0.1747 0.6537 0.8284  1 Al 2.67, 2 Hg 2.85-2.87
Hg: 0.8291 0.8291 0.6582  1 Al 2.68, 2 Hg 2.87
Al: 0.3320 0.3320 0.6641  3 Hg 2.67-2.68
Hg: 0.3463 0.8253 0.1716  1 Al 2.67, 2 Hg 2.85-2.87
Tm: 0.7500 0.2500 0.5000  8 Hg 3.23, 4 Al 3.25, 2 Tm 3.45
Hg: 0.1709 0.1709 0.3418  1 Al 2.68, 2 Hg 2.87
Tm: 0.2500 0.7500 0.5000  8 Hg 3.23, 4 Al 3.25, 2 Tm 3.45
Tm: 0.2448 0.2448 0.0000  10 Hg 3.22-3.33, 2 Al 3.30, 2 Tm 3.37-3.52
Al: 0.6680 0.6680 0.3359  3 Hg 2.67-2.68
Hg: 0.8253 0.3463 0.1716  1 Al 2.67, 2 Hg 2.85-2.87
Hg: 0.6537 0.1747 0.8284  1 Al 2.67, 2 Hg 2.85-2.87
Tm: 0.7552 0.7552 0.0000  10 Hg 3.22-3.33, 2 Al 3.30, 2 Tm 3.37-3.52

Output
Its formation energy is -0.374 eV/atom. The volume comes out at 274 Å³ per cell. Its symmetry is Fmmm. The value obtained for the final energy is -2.639 eV per atom.